Record 1
## DyLuSn2 (PBE-GGA)

Data for crystalline DyLuSn2 at its relaxed geometry.

abc: 3.765 3.765 9.296
angles: 78.32 78.32 60.00
Sites, in units of the cell vectors:
Lu 0.500 0.500 0.500
Sn 0.751 0.751 0.746
Sn 0.249 0.249 0.254
Dy 0.000 0.000 0.000

Results
Energy in eV per atom: -4.773
Space-group type: R-3m

***

Record 2
## DyLu2Sn (PBE-GGA)

Data for crystalline DyLu2Sn at its relaxed geometry.

abc: 3.631 3.631 8.598
angles: 90.00 90.00 90.00
Sites, in units of the cell vectors:
Lu 0.000 0.000 0.775
Lu 0.000 0.000 0.225
Sn 0.500 0.500 0.000
Dy 0.500 0.500 0.500

Results
Relative energy among the computed polymorphs in eV/f.u.: 0.40
Space-group type: P4/mmm

***

Record 3
## Dy2LuSn (PBE-GGA)

Data for crystalline Dy2LuSn at its relaxed geometry.

abc: 3.484 3.484 12.000
angles: 81.65 81.65 60.00
Sites, in units of the cell vectors:
Lu 0.500 0.500 0.500
Sn 0.000 0.000 0.000
Dy 0.088 0.088 0.736
Dy 0.912 0.912 0.264

Results
Relative energy among the computed polymorphs in eV/f.u.: 1.79
Space-group type: R-3m

***

Record 4
## Dy2LuSn (PBE-GGA)

Data for crystalline Dy2LuSn at its relaxed geometry.

abc: 5.365 5.365 5.365
angles: 60.00 60.00 60.00
Sites, in units of the cell vectors:
Lu 0.000 0.000 0.000
Sn 0.500 0.500 0.500
Dy 0.250 0.250 0.250
Dy 0.750 0.750 0.750

Results
Relative energy among the computed polymorphs in eV/f.u.: 0.68
Space-group type: Fm-3m